Record 1
Entry from Alexandria via LeMat-Bulk: a relaxed structure of Na7Mn16O32 (GGA-PBEsol).

a b c (Å): 8.3164 8.3164 16.6353
angles (deg): 90.00 90.00 90.00
With the nearest neighbours (Å) after each atom.
Space group I-42m (No. 121)
One atom of each set of equivalent atoms:
Na 0.0000 0.0000 0.0000 (multiplicity 2)  4 O 2.09
Na 0.0000 0.5000 0.2500 (multiplicity 4)  4 O 2.10
Na 0.2473 0.2473 0.6237 (multiplicity 8)  4 O 2.08-2.11
Mn 0.1231 0.3708 0.4383 (multiplicity 16)  6 O 1.92-1.95
Mn 0.1239 0.1239 0.3142 (multiplicity 8)  6 O 1.92-1.97
Mn 0.1249 0.1249 0.8134 (multiplicity 8)  6 O 1.92-1.94
O 0.1036 0.3943 0.0527 (multiplicity 16)  3 Mn 1.92-1.95, 1 Na 2.08
O 0.1056 0.1056 0.1967 (multiplicity 8)  3 Mn 1.93-1.97, 1 Na 2.11
O 0.1055 0.1055 0.6985 (multiplicity 8)  3 Mn 1.92-1.93, 1 Na 2.08
O 0.1401 0.1401 0.4293 (multiplicity 8)  3 Mn 1.92-1.93
O 0.1438 0.3538 0.3233 (multiplicity 16)  3 Mn 1.92-1.94, 1 Na 2.10
O 0.1468 0.1468 0.9288 (multiplicity 8)  3 Mn 1.93-1.94, 1 Na 2.09

## Properties
- Uncorrected formation energy: -1.67 eV/atom
- Calculated total energy: -7.74 eV per atom
- DOS at the Fermi energy: 25.3 states/eV per cell

Record 2
Entry from Alexandria via LeMat-Bulk: a relaxed structure of KMo4Cl (GGA-PBEsol).

a b c (Å): 7.6802 7.6802 7.6802
angles (deg): 90.00 90.00 90.00
With the nearest neighbours (Å) after each atom.
Space group F-43m (No. 216)
One atom of each set of equivalent atoms:
K 0.0000 0.0000 0.0000 (multiplicity 4)  12 Mo 3.20, 4 Cl 3.33
Mo 0.1181 0.1181 0.6181 (multiplicity 16)  6 Mo 2.57-2.87
Cl 0.2500 0.2500 0.2500 (multiplicity 4)  12 Mo 3.17, 4 K 3.33

## Properties
- Uncorrected formation energy: 1.35 eV/atom
- Calculated total energy: -7.02 eV per atom
- DOS at the Fermi energy: 18.2 states/eV per cell

Record 3
Entry from Alexandria via LeMat-Bulk: a relaxed structure of ZrGaSb2Te (GGA-PBEsol).

a b c (Å): 5.0963 5.0963 5.2473
angles (deg): 90.00 90.00 90.00
With the nearest neighbours (Å) after each atom.
Space group P4/mmm (No. 123)
One atom of each set of equivalent atoms:
Zr 0.0000 0.0000 0.0000 (multiplicity 1)  4 Te 3.60, 8 Sb 3.66
Ga 0.5000 0.5000 0.5000 (multiplicity 1)  4 Sb 2.55, 2 Te 2.62
Sb 0.0000 0.5000 0.5000 (multiplicity 2)  2 Ga 2.55
Te 0.5000 0.5000 0.0000 (multiplicity 1)  2 Ga 2.62

## Properties
- Uncorrected formation energy: 0.58 eV/atom
- Calculated total energy: -4.44 eV per atom
- DOS at the Fermi energy: 5.3 states/eV per cell

Record 4
Entry from Alexandria via LeMat-Bulk: a relaxed structure of CaTcBC2 (GGA-PBEsol).

a b c (Å): 4.0014 4.0014 4.0746
angles (deg): 90.00 90.00 90.00
With the nearest neighbours (Å) after each atom.
Space group P4/mmm (No. 123)
One atom of each set of equivalent atoms:
Ca 0.0000 0.0000 0.0000 (multiplicity 1)  4 B 2.83, 8 C 2.86
Tc 0.5000 0.5000 0.5000 (multiplicity 1)  4 C 2.00, 2 B 2.04
B 0.5000 0.5000 0.0000 (multiplicity 1)  2 Tc 2.04
C 0.0000 0.5000 0.5000 (multiplicity 2)  2 Tc 2.00

## Properties
- Calculated total energy: -7.14 eV per atom
- Formation energy from the elements: 3.983 eV/f.u.
- DOS at the Fermi energy: 2.5 states/eV per cell